No. 1
Dy3AlAg3S8 | GGA-PBE | optimized geometry

The structure in extended XYZ format:
```
15
Lattice="6.533 -3.936 0.000 6.533 3.936 0.000 -4.216 0.000 6.405" Properties=species:S:1:pos:R:3 pbc="T T T"
Dy 0.000 0.000 0.000
Dy 1.159 1.968 3.202
Dy 1.159 -1.968 3.202
Al 6.533 0.000 0.000
Ag 3.267 1.968 0.000
Ag 3.267 -1.968 0.000
Ag 4.425 0.000 3.202
S 2.135 0.000 1.642
S 0.314 0.000 4.962
S 5.568 1.771 1.435
S 3.282 1.771 4.969
S 5.568 -1.771 1.435
S 3.282 -1.771 4.969
S 8.537 0.000 1.442
S 6.715 0.000 4.763
```

Output
Energy = -76.3 eV/cell
Size of the total moment = 0.0 μB/f.u.

***

No. 2
Sm9InSi3S21 | GGA-PBE | optimized geometry

The structure in extended XYZ format:
```
68
Lattice="8.775 5.066 5.700 -8.775 5.066 5.700 0.000 -10.132 5.700" Properties=species:S:1:pos:R:3 pbc="T T T"
Sm -1.044 -7.264 5.700
Sm -6.677 -2.591 8.639
Sm -7.616 2.034 8.474
Sm -2.067 -2.502 5.779
Sm -5.769 4.536 5.700
Sm -3.004 0.542 8.551
Sm 2.047 -7.613 8.474
Sm -1.133 3.041 5.779
Sm -2.088 -2.486 11.337
Sm 1.033 -2.872 8.551
Sm 3.201 -0.539 5.779
Sm 5.583 -4.487 8.639
Sm 1.971 2.330 8.551
Sm -1.109 3.051 11.337
Sm 1.094 7.078 8.639
Sm 6.812 2.728 5.700
Sm 3.197 -0.565 11.337
Sm 5.569 5.579 8.474
In 0.000 0.000 4.378
In 0.000 0.000 12.932
Si -2.912 -5.108 8.056
Si -5.830 0.047 10.906
Si -2.967 5.076 8.056
Si 2.874 -5.073 10.906
Si 5.879 0.032 8.056
Si 2.956 5.026 10.906
S -5.155 1.822 4.356
S -1.408 -1.736 3.020
S -4.208 -3.601 7.225
S -5.766 -0.027 7.313
S 1.000 -5.375 4.356
S -7.277 -3.279 11.484
S -0.799 2.088 3.020
S -0.957 -4.804 7.223
S -2.226 0.389 5.751
S -2.985 -5.102 10.163
S -4.536 -1.461 10.088
S 2.208 -0.352 3.020
S 0.776 -2.122 5.751
S -3.682 3.231 7.223
S -5.103 1.876 10.052
S -1.505 -1.793 8.636
S -4.233 -3.549 12.900
S 2.906 -4.981 7.313
S 0.927 -5.358 10.052
S 1.450 1.733 5.751
S -0.801 2.200 8.636
S -1.015 5.445 7.225
S -2.203 0.384 11.578
S -2.926 5.136 10.163
S 4.155 3.553 4.356
S 2.305 -0.406 8.636
S 0.769 -2.100 11.578
S 5.223 -1.844 7.225
S 3.534 -3.198 10.088
S -1.477 -1.705 14.308
S 4.639 1.574 7.223
S 2.860 5.007 7.313
S 1.003 4.659 10.088
S 1.434 1.716 11.578
S -0.738 2.132 14.308
S -0.958 5.440 12.900
S 6.478 -4.662 11.484
S 5.911 -0.034 10.163
S 4.177 3.482 10.052
S 2.215 -0.427 14.308
S 0.799 7.941 11.484
S 5.190 -1.891 12.900
```

Output
Energy = -405.7 eV/cell
Size of the total moment = 0.0 μB/f.u.

***

No. 3
NbAsCBr2 | GGA-PBE | optimized geometry

The structure in extended XYZ format:
```
5
Lattice="4.540 0.000 0.000 0.000 4.540 0.000 0.000 0.000 4.449" Properties=species:S:1:pos:R:3 pbc="T T T"
Nb 0.000 0.000 0.000
As 2.270 2.270 0.000
C 2.270 2.270 2.224
Br 0.000 2.270 2.224
Br 2.270 0.000 2.224
```

Output
Energy = -20.5 eV/cell
ΔE to the lowest computed polymorph = 21 meV/atom
Size of the total moment = 1.8 μB/f.u.

***

No. 4
TbGe3Rh | GGA-PBE | optimized geometry

The structure in extended XYZ format:
```
10
Lattice="5.988 0.000 0.000 0.000 5.637 0.000 0.000 0.000 5.821" Properties=species:S:1:pos:R:3 pbc="T T T"
Tb 0.000 0.830 0.000
Tb 2.994 4.807 2.911
Ge 0.000 5.105 3.289
Ge 1.407 1.788 2.655
Ge 1.587 3.849 5.566
Ge 2.994 0.532 0.378
Ge 4.401 3.849 5.566
Ge 4.581 1.788 2.655
Rh 0.000 3.489 1.538
Rh 2.994 2.148 4.449
```

Output
Energy = -57.7 eV/cell
Size of the total moment = 0.0 μB/f.u.
ΔE_f = -3.0 eV per formula unit

***

No. 5
Ta5Mo3 | GGA-PBE | optimized geometry

The structure in extended XYZ format:
```
8
Lattice="3.253 0.000 0.000 0.000 4.657 0.000 0.000 0.000 9.091" Properties=species:S:1:pos:R:3 pbc="T T T"
Ta 0.000 0.000 0.000
Ta 0.000 0.000 4.395
Ta 0.000 2.328 6.668
Ta 1.626 0.000 6.750
Ta 1.626 2.328 9.068
Mo 0.000 2.328 2.236
Mo 1.626 0.000 2.196
Mo 1.626 2.328 4.397
```

Output
Energy = -92.5 eV/cell
ΔE to the lowest computed polymorph = 79 meV/atom
Size of the total moment = 0.0 μB/f.u.
ΔE_f = -0.8 eV per formula unit

***

No. 6
Ce2TmRu2 | GGA-PBE | optimized geometry

The structure in extended XYZ format:
```
10
Lattice="4.709 0.000 0.000 -1.595 6.196 0.000 -0.826 -1.096 7.955" Properties=species:S:1:pos:R:3 pbc="T T T"
Ce -0.668 2.226 1.499
Ce 0.139 1.105 4.691
Ce 2.148 3.995 3.264
Ce 2.955 2.874 6.457
Tm -0.168 5.768 1.366
Tm 2.456 -0.667 6.589
Ru 0.110 0.860 7.664
Ru -0.267 4.345 4.031
Ru 2.555 0.755 3.924
Ru 2.178 4.240 0.291
```

Output
Energy = -73.0 eV/cell
ΔE to the lowest computed polymorph = 8 meV/atom
Size of the total moment = 0.0 μB/f.u.
ΔE_f = -1.6 eV per formula unit

***

No. 7
LaSb2W | GGA-PBE | optimized geometry

The structure in extended XYZ format:
```
4
Lattice="1.977 -2.549 0.000 1.977 2.549 0.000 0.000 0.000 10.533" Properties=species:S:1:pos:R:3 pbc="T T T"
La 0.000 0.000 0.000
Sb 0.000 0.000 4.296
Sb 1.977 0.000 7.834
W 1.977 0.000 2.383
```

Output
Energy = -24.9 eV/cell
ΔE to the lowest computed polymorph = 466 meV/atom
Size of the total moment = 0.0 μB/f.u.

***

No. 8
MgAgSe | GGA-PBE | optimized geometry

The structure in extended XYZ format:
```
3
Lattice="-1.833 1.833 4.541 1.833 -1.833 4.541 1.833 1.833 -4.541" Properties=species:S:1:pos:R:3 pbc="T T T"
Mg 0.000 0.000 0.000
Ag 0.000 0.000 6.173
Se 0.000 0.000 3.369
```

Output
Energy = -8.8 eV/cell
ΔE to the lowest computed polymorph = 168 meV/atom
Size of the total moment = 0.0 μB/f.u.

***

Which formula does entry 2 have? Sm9InSi3S21

***

size of the total moment of number 1 (Dy3AlAg3S8)? 0.0 μB/f.u.